Entry 1:
Compound: SrTcIr2
Source: Alexandria
Functional: PBE
Structure: relaxed

Geometry as extended XYZ:
```
4
Lattice="2.8589 0.0000 0.0000 0.0000 4.3952 0.0000 -1.4018 0.0000 6.0896" Properties=species:S:1:pos:R:3 pbc="T T T"
Sr 0.0000 0.0000 0.0000
Tc 1.4555 2.1976 2.3104
Ir 0.0372 0.0000 3.0234
Ir 0.0274 2.1976 4.5121
```

## Properties
Offset from the most stable computed form   247 meV/atom
Mass density   12.37 g/cm3
Calculated total energy   -7.08 eV/atom

***

Entry 2:
Compound: SrTcIr2
Source: Alexandria
Functional: PBE
Structure: relaxed

Geometry as extended XYZ:
```
8
Lattice="8.7176 0.0000 0.0000 0.0000 2.8289 0.0000 -0.8803 0.0000 6.4883" Properties=species:S:1:pos:R:3 pbc="T T T"
Sr 0.0000 0.0000 0.0000
Sr 4.3588 1.4145 0.0000
Tc -0.4401 1.4145 3.2441
Tc 3.9187 0.0000 3.2441
Ir 1.5234 0.0000 4.3215
Ir 1.9551 1.4145 2.1668
Ir 5.8822 1.4145 4.3215
Ir 6.3139 0.0000 2.1668
```

## Properties
Offset from the most stable computed form   243 meV/atom
Mass density   11.83 g/cm3
Calculated total energy   -7.08 eV/atom

***

Entry 3:
Compound: SrTcIr2
Source: Alexandria
Functional: PBE
Structure: relaxed

Geometry as extended XYZ:
```
4
Lattice="2.9110 0.0000 0.0000 0.0000 4.8819 0.0000 0.0000 0.0000 4.9620" Properties=species:S:1:pos:R:3 pbc="T T T"
Sr 0.0000 0.0000 0.0000
Tc 1.4555 0.0000 2.4810
Ir 0.0000 2.4410 2.4810
Ir 1.4555 2.4410 0.0000
```

## Properties
Offset from the most stable computed form   651 meV/atom
Mass density   13.42 g/cm3
Calculated total energy   -6.68 eV/atom

***

Entry 4:
Compound: SrTcIr2
Source: Alexandria
Functional: PBE
Structure: relaxed

Geometry as extended XYZ:
```
8
Lattice="2.8478 0.0000 0.0000 0.0000 4.8884 0.0000 0.0000 0.0000 10.4779" Properties=species:S:1:pos:R:3 pbc="T T T"
Sr 0.0000 0.0000 0.0000
Sr 1.4239 2.4442 5.2389
Tc 0.0000 2.4442 8.2679
Tc 1.4239 0.0000 3.0290
Ir 0.0000 0.0000 5.2299
Ir 0.0000 2.4442 2.3280
Ir 1.4239 0.0000 7.5669
Ir 1.4239 2.4442 10.4689
```

## Properties
Offset from the most stable computed form   275 meV/atom
Mass density   12.98 g/cm3
Calculated total energy   -7.05 eV/atom

***

The lowest mass density belongs to which entry?
number 2

***

offset from the most stable computed form of number 1 (SrTcIr2)?
247 meV/atom

***

Which of these has the lowest offset from the most stable computed form?
number 2

***

The lowest mass density belongs to which entry?
number 2